Compound: K2NpNiO6
Source: Alexandria via LeMat-Bulk
Functional: GGA+U
Structure: optimized geometry

**Magnetization**: 0.95 μB per cell
**Volume**: 13.7 A^3/atom
**Energy**: -66.4 eV for the cell shown

CIF file:
```
data_K2NpNiO6
_chemical_formula_sum 'K2 Np1 Ni1 O6'
_cell_length_a 5.791
_cell_length_b 5.791
_cell_length_c 5.790
_cell_angle_alpha 59.98
_cell_angle_beta 59.98
_cell_angle_gamma 89.98
_space_group_name_H-M_alt 'P 1'
_space_group_IT_number 1
_space_group_name_Hall 'P 1'
loop_
_atom_site_label
_atom_site_fract_x
_atom_site_fract_y
_atom_site_fract_z
_atom_site_occupancy
K1 0.750 0.250 0.500 1
K2 0.250 0.750 0.500 1
Ni1 0.000 0.000 0.000 1
O1 0.745 0.255 0.000 1
O2 0.255 0.254 0.491 1
O3 0.255 0.255 0.000 1
O4 0.745 0.746 0.509 1
O5 0.255 0.745 0.000 1
O6 0.745 0.745 0.000 1
Np1 0.500 0.500 0.000 1
```

***

Compound: KNp2NiO8
Source: Alexandria via LeMat-Bulk
Functional: GGA+U
Structure: optimized geometry

**Magnetization**: 3.00 μB per cell
**Volume**: 14.7 A^3/atom
**Energy**: -95.8 eV for the cell shown

CIF file:
```
data_KNp2NiO8
_chemical_formula_sum 'K1 Np2 Ni1 O8'
_cell_length_a 5.014
_cell_length_b 5.014
_cell_length_c 7.058
_cell_angle_alpha 88.03
_cell_angle_beta 88.05
_cell_angle_gamma 85.00
_space_group_name_H-M_alt 'P 1'
_space_group_IT_number 1
_space_group_name_Hall 'P 1'
loop_
_atom_site_label
_atom_site_fract_x
_atom_site_fract_y
_atom_site_fract_z
_atom_site_occupancy
O1 0.785 0.222 0.790 1
O2 0.660 0.662 0.534 1
O3 0.780 0.217 0.210 1
O4 0.220 0.783 0.790 1
O5 0.318 0.316 0.987 1
O6 0.682 0.684 0.013 1
O7 0.340 0.338 0.466 1
O8 0.215 0.778 0.210 1
Ni1 0.000 0.000 0.000 1
Np1 0.493 0.493 0.760 1
Np2 0.507 0.507 0.240 1
K1 0.000 0.000 0.500 1
```

***

Among the records above, which one has the lowest magnetization?
K2NpNiO6

***

Among the records above, which one has the highest energy?
K2NpNiO6

***

The lowest volume belongs to which entry?
K2NpNiO6

***

Repeat the first record exactly.
Compound: K2NpNiO6
Source: Alexandria via LeMat-Bulk
Functional: GGA+U
Structure: optimized geometry

**Magnetization**: 0.95 μB per cell
**Volume**: 13.7 A^3/atom
**Energy**: -66.4 eV for the cell shown

CIF file:
```
data_K2NpNiO6
_chemical_formula_sum 'K2 Np1 Ni1 O6'
_cell_length_a 5.791
_cell_length_b 5.791
_cell_length_c 5.790
_cell_angle_alpha 59.98
_cell_angle_beta 59.98
_cell_angle_gamma 89.98
_space_group_name_H-M_alt 'P 1'
_space_group_IT_number 1
_space_group_name_Hall 'P 1'
loop_
_atom_site_label
_atom_site_fract_x
_atom_site_fract_y
_atom_site_fract_z
_atom_site_occupancy
K1 0.750 0.250 0.500 1
K2 0.250 0.750 0.500 1
Ni1 0.000 0.000 0.000 1
O1 0.745 0.255 0.000 1
O2 0.255 0.254 0.491 1
O3 0.255 0.255 0.000 1
O4 0.745 0.746 0.509 1
O5 0.255 0.745 0.000 1
O6 0.745 0.745 0.000 1
Np1 0.500 0.500 0.000 1
```